{"formula": "TaW5", "functional": "GGA-PBE", "state": "optimized geometry", "e_form_ev_per_atom": 0.472, "energy_ev_per_fu": -73.82, "density_kg_m3": 17687, "lattice": [[5.223, 0.000, 0.000], [-2.611, 4.523, 0.000], [0.000, 0.000, 8.744]], "species": ["Ta", "W", "Ta", "W", "W", "W", "W", "W", "W", "W", "W", "W"], "frac_coords": [[0.000, 0.000, 0.000], [0.660, 0.830, 0.750], [0.000, 0.000, 0.500], [0.340, 0.170, 0.250], [0.170, 0.830, 0.750], [0.170, 0.340, 0.750], [0.830, 0.660, 0.250], [0.333, 0.667, 0.042], [0.667, 0.333, 0.958], [0.667, 0.333, 0.542], [0.830, 0.170, 0.250], [0.333, 0.667, 0.458]]}